Entry a
La3DyC8 after structural relaxation, computed with PBE-GGA.

The structure belongs to space group P4/mmm (No. 123); the cell edges are 3.891, 3.891 and 12.966 Å and the angles 90.00°, 90.00° and 90.00°. Symmetry generates all atoms from La at (0.000, 0.000, 0.000), La at (0.500, 0.500, 0.251), Dy at (0.000, 0.000, 0.500), C at (0.000, 0.000, 0.208), C at (0.000, 0.000, 0.308), C at (0.500, 0.500, 0.050) and C at (0.500, 0.500, 0.450).

Entry b
La3DyC8 after structural relaxation, computed with PBE-GGA.

The structure belongs to space group Fmm2 (No. 42); the cell edges are 10.440, 10.449 and 7.827 Å and the angles 90.00°, 90.00° and 90.00°. Symmetry generates all atoms from La at (0.000, 0.000, 0.000), La at (0.250, 0.250, 0.251), Dy at (0.000, 0.000, 0.500), C at (0.000, 0.159, 0.715), C at (0.000, 0.239, 0.121), C at (0.159, 0.000, 0.285) and C at (0.238, 0.000, 0.878).

Which of them is most stable? Easy: entry a.